Below is a relaxed TmCrRe crystal, with properties calculated at the PBE-GGA level.

extended XYZ file:
```
6
Lattice="0.0000 4.2200 4.6461 2.5938 0.0000 4.6461 2.5938 4.2200 0.0000" Properties=species:S:1:pos:R:3 pbc="T T T"
Tm 2.5938 1.4130 4.6461
Tm 2.5938 7.0271 4.6461
Cr 1.2969 2.1100 2.3231
Cr 3.8907 6.3301 6.9692
Re 2.5938 4.2200 3.1529
Re 2.5938 4.2200 6.1394
```

Output
size of the total moment: 0.14 μB per atom
formation energy from the elements: 311 meV/atom
uncorrected energy: -8.5368 eV/atom
DOS at the Fermi energy: 2.999 states/eV/f.u.